Density functional theory data (PBE) for crystalline Na3Tc2O8 at its relaxed geometry.

Cell and atoms, written as POSCAR:
```
Na3Tc2O8
1.0
5.563 0.056 1.625
-0.968 5.989 3.110
0.221 0.599 6.386
Na Tc O
3 2 8
direct
0.000 0.000 0.000
0.500 0.265 0.000
0.500 0.735 0.000
0.138 0.691 0.618
0.862 0.309 0.382
0.189 0.368 0.263
0.811 0.632 0.737
0.257 0.868 0.265
0.743 0.132 0.735
0.236 0.842 0.739
0.236 0.419 0.739
0.764 0.581 0.261
0.764 0.158 0.261
```

Results
As for the crystal system: monoclinic. The value obtained for the energy relative to the lowest polymorph listed for this composition is 0.0000 eV/atom. As for the space-group type: C2/m (12). The calculation puts the formation energy from raw total energies at -1.626 eV/atom.

---

Density functional theory data (PBE) for crystalline Na3Tc2O8 at its relaxed geometry.

Cell and atoms, written as POSCAR:
```
Na3Tc2O8
1.0
-4.540 3.840 -0.365
-2.124 1.603 -5.330
-6.309 -3.002 -1.719
Na Tc O
3 2 8
direct
0.000 0.000 0.000
0.817 0.817 0.550
0.183 0.183 0.450
0.602 0.602 0.194
0.398 0.398 0.806
0.695 0.695 0.916
0.305 0.305 0.084
0.248 0.734 0.285
0.734 0.248 0.285
0.734 0.734 0.285
0.266 0.752 0.715
0.752 0.266 0.715
0.266 0.266 0.715
```

Results
As for the crystal system: trigonal. The value obtained for the energy relative to the lowest polymorph listed for this composition is 0.0221 eV/atom. As for the space-group type: R-3m (166). The calculation puts the formation energy from raw total energies at -1.604 eV/atom.

---

Density functional theory data (PBE) for crystalline Na2TcO6 at its relaxed geometry.

Cell and atoms, written as POSCAR:
```
Na2TcO6
1.0
5.166 0.000 0.000
0.000 5.166 0.000
0.000 0.000 10.285
Na Tc O
4 2 12
direct
0.000 0.000 0.337
0.500 0.500 0.837
0.500 0.500 0.163
0.000 0.000 0.663
0.000 0.000 0.000
0.500 0.500 0.500
0.321 0.321 0.370
0.679 0.679 0.370
0.179 0.821 0.870
0.821 0.179 0.870
0.179 0.821 0.130
0.821 0.179 0.130
0.321 0.321 0.630
0.679 0.679 0.630
0.257 0.257 0.000
0.743 0.743 0.000
0.243 0.757 0.500
0.757 0.243 0.500
```

Results
As for the crystal system: tetragonal. As for the space-group type: P4_2/mnm (136). The calculation puts the formation energy from raw total energies at -0.839 eV/atom.

---

Density functional theory data (PBE) for crystalline NaTc2O7 at its relaxed geometry.

Cell and atoms, written as POSCAR:
```
NaTc2O7
1.0
-0.067 2.007 3.191
-4.391 -3.397 2.045
5.531 -1.724 1.201
Na Tc O
1 2 7
direct
0.000 0.000 0.000
0.500 0.692 0.308
0.500 0.308 0.692
0.000 0.693 0.307
0.000 0.307 0.693
0.500 0.039 0.330
0.500 0.961 0.670
0.500 0.330 0.039
0.500 0.670 0.961
0.500 0.500 0.500
```

Results
As for the crystal system: orthorhombic. As for the space-group type: Cmmm (65). The calculation puts the formation energy from raw total energies at -1.253 eV/atom.

---

Density functional theory data (PBE) for crystalline Na3TcO at its relaxed geometry.

Cell and atoms, written as POSCAR:
```
Na3TcO
1.0
-4.364 -1.125 3.543
3.713 -1.584 4.070
0.181 5.393 1.935
Na Tc O
3 1 1
direct
0.000 0.500 0.000
0.000 0.000 0.500
0.500 0.000 0.000
0.000 0.000 0.000
0.500 0.500 0.500
```

Results
As for the crystal system: cubic. The value obtained for the energy relative to the lowest polymorph listed for this composition is 1.0736 eV/atom. As for the space-group type: Pm-3m (221). The calculation puts the formation energy from raw total energies at 1.345 eV/atom.

---

Density functional theory data (PBE) for crystalline Na3TcO6 at its relaxed geometry.

Cell and atoms, written as POSCAR:
```
Na3TcO6
1.0
-3.620 -1.220 -4.278
-4.442 -3.507 1.025
-5.298 2.237 0.110
Na Tc O
3 1 6
direct
0.287 0.245 0.245
0.713 0.755 0.755
0.000 0.000 0.000
0.500 0.500 0.500
0.352 0.207 0.659
0.648 0.341 0.793
0.648 0.793 0.341
0.352 0.659 0.207
0.163 0.710 0.710
0.837 0.290 0.290
```

Results
As for the crystal system: monoclinic. As for the space-group type: C2/m (12). The calculation puts the formation energy from raw total energies at -1.167 eV/atom.

---

Density functional theory data (PBE) for crystalline Na5Tc2O6 at its relaxed geometry.

Cell and atoms, written as POSCAR:
```
Na5Tc2O6
1.0
-2.583 3.848 -3.689
-2.285 -2.769 -4.711
-11.604 -1.240 4.655
Na Tc O
10 4 12
direct
0.693 0.205 0.969
0.795 0.307 0.531
0.307 0.795 0.031
0.205 0.693 0.469
0.806 0.874 0.704
0.126 0.194 0.796
0.194 0.126 0.296
0.874 0.806 0.204
0.407 0.593 0.750
0.593 0.407 0.250
0.344 0.123 0.566
0.877 0.656 0.934
0.656 0.877 0.434
0.123 0.344 0.066
0.121 0.973 0.620
0.027 0.879 0.880
0.879 0.027 0.380
0.973 0.121 0.120
0.470 0.230 0.672
0.770 0.530 0.828
0.530 0.770 0.328
0.230 0.470 0.172
0.649 0.728 0.571
0.272 0.351 0.929
0.351 0.272 0.429
0.728 0.649 0.071
```

Results
As for the crystal system: monoclinic. As for the space-group type: C2/c (15). The calculation puts the formation energy from raw total energies at -1.338 eV/atom.

---

Density functional theory data (PBE) for crystalline Na3TcO4 at its relaxed geometry.

Cell and atoms, written as POSCAR:
```
Na3TcO4
1.0
4.951 0.000 0.000
0.000 6.505 0.000
0.000 0.000 7.644
Na Tc O
6 2 8
direct
0.550 0.835 0.000
0.051 0.670 0.241
0.551 0.330 0.259
0.050 0.165 0.500
0.551 0.330 0.741
0.051 0.670 0.759
0.012 0.172 0.000
0.512 0.828 0.500
0.071 0.890 0.000
0.632 0.178 0.000
0.074 0.312 0.208
0.574 0.688 0.292
0.132 0.822 0.500
0.571 0.110 0.500
0.574 0.688 0.708
0.074 0.312 0.792
```

Results
As for the crystal system: orthorhombic. As for the space-group type: Pmn2_1 (31). The calculation puts the formation energy from raw total energies at -1.551 eV/atom.